First-principles (GGA-PBEsol) data for a relaxed ScFe2Hg crystal, as listed in Alexandria.

Results
The calculation puts the total energy at -6.187 eV/atom. For the total moment, the calculation gives 3.1 μB per formula unit. Its volume is 59 Å³ per cell. As for the formation energy: 0.4 eV/f.u. The density is 10.01 g/cm3.

Cell lengths 3.7345, 3.9830, 3.9830 Å; angles 90.00, 90.00, 90.00 degrees
Site moments in Bohr magnetons follow the coordinates.
Positions (direct):
Fe 0.0000 0.0000 0.5000  1.86
Fe 0.0000 0.5000 0.0000  1.86
Hg 0.5000 0.5000 0.5000  -0.08
Sc 0.5000 0.0000 0.0000  -0.39

=====

First-principles (GGA-PBEsol) data for a relaxed ScTlFeHg2 crystal, as listed in Alexandria.

Results
The calculation puts the total energy at -3.155 eV/atom. For the total moment, the calculation gives 1.5 μB per formula unit. Its volume is 132 Å³ per cell. As for the formation energy: 3.6 eV/f.u. The density is 8.87 g/cm3.

Cell lengths 4.4300, 5.4627, 5.4627 Å; angles 90.00, 90.00, 90.00 degrees
Site moments in Bohr magnetons follow the coordinates.
Positions (direct):
Sc 0.0000 0.0000 0.0000  -0.42
Tl 0.5000 0.5000 0.5000  -0.03
Hg 0.0000 0.0000 0.5000  -0.03
Hg 0.0000 0.5000 0.0000  -0.03
Fe 0.5000 0.0000 0.0000  2.14

=====

First-principles (GGA-PBEsol) data for a relaxed FeHg2Se crystal, as listed in Alexandria.

Results
The calculation puts the total energy at -2.995 eV/atom. For the total moment, the calculation gives 3.1 μB per formula unit. Its volume is 77 Å³ per cell. The density is 11.54 g/cm3. Its energy relative to the elements, uncorrected is 492 meV/atom.

Cell lengths 4.7782, 4.7782, 4.7782 Å; angles 60.00, 60.00, 60.00 degrees
Site moments in Bohr magnetons follow the coordinates.
Positions (direct):
Fe 0.5000 0.5000 0.5000  3.02
Hg 0.0000 0.0000 0.0000  0.00
Hg 0.7500 0.7500 0.7500  0.04
Se 0.2500 0.2500 0.2500  0.03

=====

First-principles (GGA-PBEsol) data for a relaxed FeHg2Se crystal, as listed in Alexandria.

Results
The calculation puts the total energy at -3.061 eV/atom. For the total moment, the calculation gives 3.1 μB per formula unit. Its volume is 77 Å³ per cell. The density is 11.55 g/cm3. Its energy relative to the elements, uncorrected is 426 meV/atom.

Cell lengths 3.1845, 3.1845, 8.9615 Å; angles 79.77, 79.77, 60.00 degrees
Site moments in Bohr magnetons follow the coordinates.
Positions (direct):
Fe 0.0000 0.0000 0.0000  2.92
Hg 0.2567 0.2567 0.2298  0.02
Hg 0.7433 0.7433 0.7702  0.02
Se 0.5000 0.5000 0.5000  0.05

=====

First-principles (GGA-PBEsol) data for a relaxed FeHgSe2 crystal, as listed in Alexandria.

Results
The calculation puts the total energy at -4.485 eV/atom. For the total moment, the calculation gives 1.6 μB per formula unit. Its volume is 86 Å³ per cell. The density is 8.03 g/cm3. Its energy relative to the elements, uncorrected is -177 meV/atom.

Cell lengths 3.2775, 3.2775, 9.4086 Å; angles 79.97, 79.97, 60.00 degrees
Site moments in Bohr magnetons follow the coordinates.
Positions (direct):
Hg 0.0000 0.0000 0.0000  0.01
Se 0.8847 0.8847 0.3458  0.02
Se 0.1153 0.1153 0.6542  0.02
Fe 0.5000 0.5000 0.5000  1.55

=====

First-principles (GGA-PBEsol) data for a relaxed FeHg2Se crystal, as listed in Alexandria.

Results
The calculation puts the total energy at -3.369 eV/atom. For the total moment, the calculation gives 2.0 μB per formula unit. Its volume is 81 Å³ per cell. The density is 10.92 g/cm3. Its energy relative to the elements, uncorrected is 118 meV/atom.

Cell lengths 3.0121, 4.3672, 6.5674 Å; angles 109.42, 90.00, 90.00 degrees
Site moments in Bohr magnetons follow the coordinates.
Positions (direct):
Fe 0.5000 0.5356 0.0713  2.03
Hg 0.0000 0.9863 0.9726  -0.03
Hg 0.5000 0.3219 0.6437  0.00
Se 0.0000 0.6753 0.3507  -0.01

=====

First-principles (GGA-PBEsol) data for a relaxed FeHg2Se crystal, as listed in Alexandria.

Results
The calculation puts the total energy at -3.040 eV/atom. For the total moment, the calculation gives 2.9 μB per formula unit. Its volume is 75 Å³ per cell. The density is 11.80 g/cm3. Its energy relative to the elements, uncorrected is 447 meV/atom.

Cell lengths 4.1986, 4.1986, 5.2068 Å; angles 113.78, 113.78, 90.00 degrees
Site moments in Bohr magnetons follow the coordinates.
Positions (direct):
Fe 0.2500 0.7500 0.5000  2.90
Hg 0.0000 0.0000 0.0000  -0.03
Hg 0.7500 0.2500 0.5000  -0.04
Se 0.5000 0.5000 0.0000  0.01

=====

First-principles (GGA-PBEsol) data for a relaxed FeHg4Se crystal, as listed in Alexandria.

Results
The calculation puts the total energy at -1.848 eV/atom. For the total moment, the calculation gives 3.3 μB per formula unit. Its volume is 132 Å³ per cell. The density is 11.75 g/cm3. Its energy relative to the elements, uncorrected is 665 meV/atom.

Cell lengths 5.7209, 5.7209, 5.7209 Å; angles 60.00, 60.00, 60.00 degrees
Site moments in Bohr magnetons follow the coordinates.
Positions (direct):
Fe 0.0000 0.0000 0.0000  3.16
Hg 0.3748 0.3748 0.3748  0.00
Hg 0.3748 0.3748 0.8757  0.00
Hg 0.8757 0.3748 0.3748  0.00
Hg 0.3748 0.8757 0.3748  0.00
Se 0.7500 0.7500 0.7500  0.06